# 1
Below is an optimized crystal structure of TbU3Tl3Se8, with properties calculated at the PBE level.

Formation energy without anion corrections ... -1.076 eV/atom
Calculated total energy ... -5.974 eV per atom
Magnetic moment ... 8.00 μB/cell
Fermi-level density of states ... 1.068 states/eV per atom

Cell: 8.325 8.325 9.207 Å, 116.90 90.00 120.00°
Each line ends with the local moment (μB).
Fractional coordinates of all 15 atoms:
Tb 0.000 0.000 0.500  0.06
U 0.500 0.000 0.500  2.51
U 0.500 0.500 0.500  2.51
U 0.000 0.500 0.500  2.51
Tl 0.000 0.000 0.000  0.00
Tl 0.000 0.500 0.000  0.00
Tl 0.500 0.500 0.000  0.00
Se 0.265 0.530 0.294  -0.06
Se 0.735 0.470 0.706  -0.06
Se 0.764 0.529 0.297  -0.05
Se 0.236 0.471 0.703  -0.05
Se 0.764 0.032 0.297  -0.05
Se 0.236 0.968 0.703  -0.05
Se 0.268 0.032 0.297  -0.05
Se 0.732 0.968 0.703  -0.05

# 2
Below is an optimized crystal structure of Ni2RhAu, with properties calculated at the PBE level.

Energy of formation from the pure elements ... 0.14 eV per atom
Calculated total energy ... -5.405 eV per atom
Magnetic moment ... 2.33 μB/cell
Fermi-level density of states ... 1.384 states/eV per atom

Cell: 4.078 2.702 5.171 Å, 74.84 90.00 90.00°
Each line ends with the local moment (μB).
Fractional coordinates of all 4 atoms:
Au 0.500 0.796 0.781  0.03
Ni 0.000 0.185 0.000  0.72
Ni 0.500 0.058 0.263  0.81
Rh 0.000 0.460 0.456  0.84

Question: Among the records above, which one has the highest calculated total energy?
Answer: Ni2RhAu

Question: The lowest Fermi-level density of states belongs to which entry?
Answer: TbU3Tl3Se8